1.
Compound: Pa6Te3AsP2
Source: Alexandria via LeMat-Bulk
Functional: GGA-PBE
Structure: relaxed

Values from the calculation:
formation energy from raw total energies = -0.967 eV/atom
DOS at the Fermi energy = 22.721 states/eV/f.u.
V = 308.6 Å³ per cell

Geometry as extended XYZ:
```
12
Lattice="3.536 -6.130 0.000 3.536 6.130 0.000 -2.361 0.000 7.118" Properties=species:S:1:pos:R:3 pbc="T T T"
Pa -0.049 2.114 5.612
Pa 1.088 0.000 1.473
Pa -0.049 -2.114 5.612
Pa 4.760 2.114 1.506
Pa 3.623 0.000 5.644
Pa 4.760 -2.114 1.506
Te -1.181 0.000 3.559
Te 2.356 1.976 3.559
Te 2.356 -1.976 3.559
As 3.536 0.000 0.000
P 3.536 4.070 0.000
P 3.536 -4.070 0.000
```

2.
Compound: Pa4TeAs2P
Source: Alexandria via LeMat-Bulk
Functional: GGA-PBE
Structure: relaxed

Values from the calculation:
formation energy from raw total energies = -0.982 eV/atom
DOS at the Fermi energy = 12.112 states/eV/f.u.
V = 198.8 Å³ per cell

Geometry as extended XYZ:
```
8
Lattice="7.054 0.000 0.000 0.000 4.061 0.000 -2.343 0.000 6.940" Properties=species:S:1:pos:R:3 pbc="T T T"
Pa 1.161 0.000 1.578
Pa -0.015 2.031 5.334
Pa 4.726 2.031 1.606
Pa 3.550 0.000 5.362
Te 2.356 2.031 3.470
As -1.171 0.000 3.470
As 0.000 2.031 0.000
P 3.527 0.000 0.000
```

3.
Compound: Pa4Te2AsP
Source: Alexandria via LeMat-Bulk
Functional: GGA-PBE
Structure: relaxed

Values from the calculation:
formation energy from raw total energies = -0.936 eV/atom
DOS at the Fermi energy = 15.009 states/eV/f.u.
V = 207.5 Å³ per cell

Geometry as extended XYZ:
```
8
Lattice="7.070 0.000 0.000 0.000 4.095 0.000 -2.373 0.000 7.165" Properties=species:S:1:pos:R:3 pbc="T T T"
Pa 1.098 0.000 1.502
Pa -0.091 2.048 5.617
Pa 4.788 2.048 1.548
Pa 3.599 0.000 5.663
Te -1.186 0.000 3.583
Te 2.349 2.048 3.583
As 3.535 0.000 0.000
P 0.000 2.048 0.000
```

4.
Compound: ThPaAsP
Source: Alexandria via LeMat-Bulk
Functional: GGA-PBE
Structure: relaxed

Values from the calculation:
calculated formation energy = -4.71 eV/f.u.
DOS at the Fermi energy = 4.466 states/eV/f.u.
V = 99.7 Å³ per cell

Geometry as extended XYZ:
```
4
Lattice="1.990 1.149 7.263 -1.990 1.149 7.263 0.000 -2.298 7.263" Properties=species:S:1:pos:R:3 pbc="T T T"
Th 0.000 0.000 0.000
Pa 0.000 0.000 3.924
As 0.000 0.000 9.282
P 0.000 0.000 12.803
```

5.
Compound: As2PPb
Source: Alexandria via LeMat-Bulk
Functional: GGA-PBE
Structure: relaxed

Values from the calculation:
calculated formation energy = 2.21 eV/f.u.
polymorph energy (0 for the lowest one) = 440 meV per atom
DOS at the Fermi energy = 2.865 states/eV/f.u.
V = 85.7 Å³ per cell

Geometry as extended XYZ:
```
4
Lattice="2.990 -5.048 0.000 2.990 5.048 0.000 -1.080 0.000 2.840" Properties=species:S:1:pos:R:3 pbc="T T T"
As 1.495 2.524 0.000
As 1.495 -2.524 0.000
P -0.540 0.000 1.420
Pb 2.450 0.000 1.420
```

6.
Compound: As2PPb
Source: Alexandria via LeMat-Bulk
Functional: GGA-PBE
Structure: relaxed

Values from the calculation:
calculated formation energy = 2.07 eV/f.u.
polymorph energy (0 for the lowest one) = 407 meV per atom
DOS at the Fermi energy = 2.965 states/eV/f.u.
V = 84.9 Å³ per cell

Geometry as extended XYZ:
```
4
Lattice="0.000 3.488 3.488 3.488 0.000 3.488 3.488 3.488 0.000" Properties=species:S:1:pos:R:3 pbc="T T T"
As 0.000 0.000 0.000
As 1.744 1.744 1.744
P 5.232 5.232 5.232
Pb 3.488 3.488 3.488
```

7.
Compound: As2PPb
Source: Alexandria via LeMat-Bulk
Functional: GGA-PBE
Structure: relaxed

Values from the calculation:
calculated formation energy = 0.66 eV/f.u.
polymorph energy (0 for the lowest one) = 53 meV per atom
DOS at the Fermi energy = 2.158 states/eV/f.u.
V = 90.2 Å³ per cell

Geometry as extended XYZ:
```
4
Lattice="1.970 1.138 6.707 -1.970 1.138 6.707 0.000 -2.275 6.707" Properties=species:S:1:pos:R:3 pbc="T T T"
As 0.000 0.000 0.000
As 0.000 0.000 5.330
P 0.000 0.000 10.482
Pb 0.000 0.000 15.560
```

8.
Compound: As3P5Pb12
Source: Alexandria via LeMat-Bulk
Functional: GGA-PBE
Structure: relaxed

Values from the calculation:
calculated formation energy = 3.55 eV/f.u.
DOS at the Fermi energy = 6.024 states/eV/f.u.
V = 2565.8 Å³ per cell

Geometry as extended XYZ:
```
80
Lattice="-8.624 8.624 8.624 8.624 -8.624 8.624 8.624 8.624 -8.624" Properties=species:S:1:pos:R:3 pbc="T T T"
As 4.312 2.156 0.000
As 8.624 4.312 -2.156
As 2.156 0.000 4.312
As 10.780 0.000 4.312
As 0.000 4.312 2.156
As 4.312 -2.156 8.624
As 4.312 10.780 0.000
As 8.624 4.312 6.468
As -2.156 8.624 4.312
As 6.468 8.624 4.312
As 0.000 4.312 10.780
As 4.312 6.468 8.624
P 0.000 0.000 0.000
P 4.312 4.312 -4.312
P 4.312 -4.312 4.312
P 8.624 0.000 0.000
P 12.936 2.156 0.000
P 8.624 -4.312 6.468
P 6.468 8.624 -4.312
P 6.468 0.000 4.312
P 4.312 6.468 0.000
P 8.624 4.312 2.156
P -4.312 4.312 4.312
P 0.000 8.624 0.000
P 0.000 0.000 8.624
P 4.312 4.312 4.312
P 0.000 4.312 6.468
P 4.312 2.156 8.624
P 2.156 8.624 4.312
P 2.156 0.000 12.936
P 0.000 12.936 2.156
P -4.312 6.468 8.624
Pb 2.646 -0.297 1.166
Pb 10.290 5.478 -4.609
Pb 11.270 0.297 1.166
Pb 10.290 -3.146 4.609
Pb 8.327 -1.166 2.646
Pb 13.233 -1.666 3.146
Pb 1.166 2.646 -0.297
Pb 11.770 4.015 -1.666
Pb 5.478 4.609 -1.666
Pb 7.458 2.646 0.297
Pb -0.297 1.166 2.646
Pb 4.609 -1.666 5.478
Pb 8.327 7.458 -2.646
Pb 4.609 1.666 3.146
Pb 5.478 -4.609 10.290
Pb 7.458 -2.646 8.327
Pb 3.146 4.609 1.666
Pb 9.790 5.978 0.297
Pb 4.609 10.290 -3.146
Pb 8.327 1.166 5.978
Pb 2.646 8.327 -1.166
Pb 10.290 3.146 4.015
Pb 1.666 3.146 4.609
Pb 2.646 0.297 7.458
Pb 5.978 8.327 1.166
Pb 6.958 5.478 4.015
Pb -1.666 5.478 4.609
Pb 5.978 0.297 9.790
Pb 0.297 7.458 2.646
Pb 4.015 -1.666 11.770
Pb -1.166 2.646 8.327
Pb 5.478 4.015 6.958
Pb 1.166 11.270 0.297
Pb 3.146 13.233 -1.666
Pb 4.015 6.958 5.478
Pb 0.297 1.166 11.270
Pb 4.015 10.290 3.146
Pb 8.921 7.458 5.978
Pb 1.166 5.978 8.327
Pb 3.146 4.015 10.290
Pb -3.146 4.609 10.290
Pb 7.458 5.978 8.921
Pb -4.609 10.290 5.478
Pb 0.297 9.790 5.978
Pb -1.666 11.770 4.015
Pb -2.646 8.327 7.458
Pb -1.666 3.146 13.233
Pb 5.978 8.921 7.458
```

Number 7 is which compound?
As2PPb